Entry 1:
# CrGePdPt, relaxed, DFT PBE
data_CrGePdPt
_space_group_name_H-M_alt 'P 1 m 1'
_space_group_IT_number 6
_space_group_name_Hall 'P -2y'
_cell_length_a 3.768
_cell_length_b 2.777
_cell_length_c 5.662
_cell_angle_alpha 90.00
_cell_angle_beta 96.40
_cell_angle_gamma 90.00
loop_
_atom_site_label
_atom_site_type_symbol
_atom_site_fract_x
_atom_site_fract_y
_atom_site_fract_z
Cr1 Cr 0.000 0.000 0.000
Ge1 Ge 0.420 0.500 0.283
Pd1 Pd 0.920 0.000 0.504
Pt1 Pt 0.468 0.500 0.803
# * spin magnetization: 0.000 μB per atom
# * crystal system: monoclinic

***

Entry 2:
# CrGePdPt, relaxed, DFT PBE
data_CrGePdPt
_space_group_name_H-M_alt 'P 1'
_space_group_IT_number 1
_space_group_name_Hall 'P 1'
_cell_length_a 3.272
_cell_length_b 4.684
_cell_length_c 4.917
_cell_angle_alpha 88.63
_cell_angle_beta 70.70
_cell_angle_gamma 69.63
loop_
_atom_site_label
_atom_site_type_symbol
_atom_site_fract_x
_atom_site_fract_y
_atom_site_fract_z
Cr1 Cr 0.000 0.000 0.000
Ge1 Ge 0.509 0.368 0.620
Pd1 Pd 0.189 0.456 0.169
Pt1 Pt 0.317 0.922 0.450
# * spin magnetization: 0.845 μB per atom
# * crystal system: triclinic

***

Entry 3:
# CrGePdPt, relaxed, DFT PBE
data_CrGePdPt
_space_group_name_H-M_alt 'I m m 2'
_space_group_IT_number 44
_space_group_name_Hall 'I 2 -2'
_cell_length_a 3.543
_cell_length_b 4.186
_cell_length_c 8.255
_cell_angle_alpha 90.00
_cell_angle_beta 90.00
_cell_angle_gamma 90.00
loop_
_atom_site_label
_atom_site_type_symbol
_atom_site_fract_x
_atom_site_fract_y
_atom_site_fract_z
Cr1 Cr 0.000 0.000 0.000
Ge1 Ge 0.000 0.500 0.256
Pd1 Pd 0.000 0.500 0.767
Pt1 Pt 0.000 0.000 0.531
# * spin magnetization: 0.927 μB per atom
# * crystal system: orthorhombic

***

Entry 4:
# CrGePdPt, relaxed, DFT PBE
data_CrGePdPt
_space_group_name_H-M_alt 'C 1 m 1'
_space_group_IT_number 8
_space_group_name_Hall 'C -2y'
_cell_length_a 8.857
_cell_length_b 3.872
_cell_length_c 3.927
_cell_angle_alpha 90.00
_cell_angle_beta 116.19
_cell_angle_gamma 90.00
loop_
_atom_site_label
_atom_site_type_symbol
_atom_site_fract_x
_atom_site_fract_y
_atom_site_fract_z
Cr1 Cr 0.000 0.000 0.000
Ge1 Ge 0.252 0.000 0.752
Pd1 Pd 0.004 0.500 0.504
Pt1 Pt 0.252 0.500 0.252
# * spin magnetization: 0.860 μB per atom
# * crystal system: monoclinic

***

| no. | polymorph energy (0 for the lowest one) (meV/atom) | DFT formation energy (meV per atom) |
| --- | --- | --- |
| 1 | 136 | -104 |
| 2 | 139 | -100 |
| 3 | 34 | -206 |
| 4 | 43 | -197 |